# 1
# Li4CdBiPt2

A relaxed Li4CdBiPt2 crystal (PBE, OQMD).

The value obtained for the total energy is -28.57 eV for the cell shown.

It has space group P-4m2 (No. 115), with a = 4.573 Å, b = 4.573 Å, c = 6.287 Å, α = 90.00°, β = 90.00° and γ = 90.00°. Symmetry generates all atoms from Li at (0.000, 0.000, 0.000), Li at (0.000, 0.500, 0.727), Li at (0.500, 0.500, 0.500), Cd at (0.000, 0.000, 0.500), Bi at (0.500, 0.500, 0.000) and Pt at (0.000, 0.500, 0.252).

# 2
# LuCdBi

A relaxed LuCdBi crystal (PBE, OQMD).

The calculation puts the distance to the lowest polymorph of the same formula at 0 meV/atom.

It has space group F-43m (No. 216), with a = 7.220 Å, b = 7.220 Å, c = 7.220 Å, α = 90.00°, β = 90.00° and γ = 90.00°. Symmetry generates all atoms from Lu at (0.000, 0.000, 0.000), Cd at (0.250, 0.250, 0.250) and Bi at (0.250, 0.250, 0.750).

# 3
# LuCd2Bi

A relaxed LuCd2Bi crystal (PBE, OQMD).

The value obtained for the total energy is -43.26 eV for the cell shown.

It has space group F-43m (No. 216), with a = 7.462 Å, b = 7.462 Å, c = 7.462 Å, α = 90.00°, β = 90.00° and γ = 90.00°. Symmetry generates all atoms from Lu at (0.000, 0.000, 0.000), Cd at (0.000, 0.000, 0.500), Cd at (0.250, 0.250, 0.250) and Bi at (0.250, 0.250, 0.750).

# 4
# LuCdBi

A relaxed LuCdBi crystal (PBE, OQMD).

The calculation puts the distance to the lowest polymorph of the same formula at 261 meV/atom.

It has space group F-43m (No. 216), with a = 7.255 Å, b = 7.255 Å, c = 7.255 Å, α = 90.00°, β = 90.00° and γ = 90.00°. Symmetry generates all atoms from Lu at (0.000, 0.000, 0.000), Cd at (0.000, 0.000, 0.500) and Bi at (0.250, 0.250, 0.750).